Record 1
The following is a PBE-GGA calculation of a relaxed Y2ReRh crystal, from the Alexandria database.

abc: 4.073 4.073 9.949
angles: 90.00 90.00 90.00
Space group I-4m2 (No. 119)
Inequivalent atoms, fractional coordinates:
Y  0.000  0.000  0.000 x2
Y  0.000  0.500  0.250 x2
Re  0.000  0.500  0.750 x2
Rh  0.000  0.000  0.500 x2

=====

Record 2
The following is a PBE-GGA calculation of a relaxed Y2ReRh crystal, from the Alexandria database.

abc: 3.403 3.452 6.955
angles: 90.00 90.14 90.00
Space group P2/m (No. 10)
Inequivalent atoms, fractional coordinates:
Y  0.000  0.000  0.249 x2
Re  0.500  0.500  0.500 x1
Rh  0.500  0.500  0.000 x1

=====

Record 3
The following is a PBE-GGA calculation of a relaxed YRe2Rh crystal, from the Alexandria database.

Output
E above lowest polymorph: 0.174 eV per atom

abc: 9.115 2.958 5.441
angles: 90.00 100.86 90.00
Space group Cm (No. 8)
Inequivalent atoms, fractional coordinates:
Y  0.000  0.000  0.000 x2
Re  0.230  0.000  0.640 x2
Re  0.494  0.000  0.509 x2
Rh  0.258  0.500  0.243 x2

=====

Record 4
The following is a PBE-GGA calculation of a relaxed YRe2Rh crystal, from the Alexandria database.

Output
E above lowest polymorph: 0.224 eV per atom

abc: 3.271 4.825 9.035
angles: 90.00 90.00 90.00
Space group Imm2 (No. 44)
Inequivalent atoms, fractional coordinates:
Y  0.000  0.000  0.000 x2
Re  0.000  0.000  0.493 x2
Re  0.000  0.500  0.784 x2
Rh  0.000  0.500  0.227 x2

=====

Record 5
The following is a PBE-GGA calculation of a relaxed YRe2Rh crystal, from the Alexandria database.

Output
E above lowest polymorph: 0.104 eV per atom

abc: 2.950 4.363 5.582
angles: 90.00 101.23 90.00
Space group Pm (No. 6)
Inequivalent atoms, fractional coordinates:
Y  0.000  0.000  0.000 x1
Re  0.373  0.000  0.498 x1
Re  0.733  0.500  0.375 x1
Rh  0.424  0.500  0.806 x1

=====

Record 6
The following is a PBE-GGA calculation of a relaxed YRe2Rh crystal, from the Alexandria database.

Output
E above lowest polymorph: 0.000 eV per atom

abc: 3.077 3.077 7.498
angles: 90.00 90.00 90.00
Space group P4mm (No. 99)
Inequivalent atoms, fractional coordinates:
Y  0.000  0.000  0.000 x1
Re  0.000  0.000  0.485 x1
Re  0.500  0.500  0.298 x1
Rh  0.500  0.500  0.715 x1

=====

Record 7
The following is a PBE-GGA calculation of a relaxed Y2ReRh crystal, from the Alexandria database.

abc: 8.870 3.275 5.911
angles: 90.00 102.47 90.00
Space group C2/m (No. 12)
Inequivalent atoms, fractional coordinates:
Y  0.249  0.000  0.251 x4
Re  0.000  0.000  0.500 x2
Rh  0.000  0.500  0.000 x2

=====

Record 8
The following is a PBE-GGA calculation of a relaxed Y2ReRh crystal, from the Alexandria database.

abc: 7.580 7.580 6.033
angles: 90.00 90.00 90.00
Space group I-42d (No. 122)
Inequivalent atoms, fractional coordinates:
Y  0.234  0.250  0.125 x8
Re  0.000  0.000  0.500 x4
Rh  0.000  0.000  0.000 x4

=====

Record 9
The following is a PBE-GGA calculation of a relaxed YReRh crystal, from the Alexandria database.

Output
E above lowest polymorph: 1.235 eV per atom

abc: 6.421 6.421 6.421
angles: 90.00 90.00 90.00
Space group F-43m (No. 216)
Inequivalent atoms, fractional coordinates:
Y  0.000  0.000  0.000 x4
Re  0.250  0.250  0.250 x4
Rh  0.250  0.250  0.750 x4

=====

Record 10
The following is a PBE-GGA calculation of a relaxed Y3ReRh crystal, from the Alexandria database.

Output
E above lowest polymorph: 0.000 eV per atom

abc: 5.262 5.262 5.262
angles: 90.00 90.00 90.00
Space group Pm-3m (No. 221)
Inequivalent atoms, fractional coordinates:
Y  0.000  0.000  0.500 x3
Re  0.000  0.000  0.000 x1
Rh  0.500  0.500  0.500 x1

=====

Record 11
The following is a PBE-GGA calculation of a relaxed ZnReRh2 crystal, from the Alexandria database.

Output
E above lowest polymorph: 0.795 eV per atom

abc: 6.888 6.888 5.412
angles: 90.00 90.00 90.00
Space group I-42d (No. 122)
Inequivalent atoms, fractional coordinates:
Zn  0.000  0.000  0.000 x4
Re  0.000  0.000  0.500 x4
Rh  0.234  0.750  0.625 x8

=====

Record 12
The following is a PBE-GGA calculation of a relaxed ZnRe2Rh crystal, from the Alexandria database.

Output
E above lowest polymorph: 0.157 eV per atom

abc: 2.736 4.120 5.153
angles: 90.00 90.00 90.00
Space group Pmmm (No. 47)
Inequivalent atoms, fractional coordinates:
Zn  0.000  0.000  0.000 x1
Re  0.500  0.500  0.238 x2
Rh  0.000  0.000  0.500 x1

=====

no.,E_form (eV/atom),theoretical density (g cm⁻³)
1,0.08,9.4
2,-0.16,9.5
3,0.17,13.0
4,0.22,13.1
5,0.10,13.3
6,0.00,13.2
7,0.20,9.3
8,0.37,8.9
9,1.21,9.5
10,0.54,6.3
11,0.52,11.8
12,0.13,15.5